A plane-wave DFT calculation with PBE was carried out for an optimized crystal structure of MgSb2Br.

a b c (Å): 5.282 5.282 5.292
angles (deg): 90.00 90.00 121.11
Fractional positions:
Mg (0.000, 0.000, 0.000)
Sb (0.170, 0.830, 0.500)
Sb (0.830, 0.170, 0.500)
Br (0.500, 0.500, 0.000)

The formation energy without anion corrections comes out at -0.32 eV per atom. The calculation puts the final energy at -3.194 eV per atom. As for the density: 4568 kg/m3. The offset from the most stable computed form comes out at 0.096 eV per atom.

---

A plane-wave DFT calculation with PBE was carried out for an optimized crystal structure of MgSb2Br.

a b c (Å): 5.274 5.274 5.269
angles (deg): 108.86 108.86 110.57
Fractional positions:
Mg (0.000, 0.000, 0.000)
Sb (0.000, 0.500, 0.500)
Sb (0.500, 0.000, 0.500)
Br (0.500, 0.500, 0.000)

The formation energy without anion corrections comes out at -0.15 eV per atom. The calculation puts the final energy at -3.027 eV per atom. As for the density: 5112 kg/m3. The offset from the most stable computed form comes out at 0.263 eV per atom.